# 1
Below is crystalline GaTcBr3 at its relaxed geometry, with properties calculated at the PBE level.

Cell: 5.300 5.300 5.300 Å, 90.00 90.00 90.00°
Element x y z (fractional)
Ga 0.000 0.000 0.000
Tc 0.500 0.500 0.500
Br 0.000 0.000 0.500
Br 0.000 0.500 0.000
Br 0.500 0.000 0.000


# 2
Below is crystalline GaTcBr3 at its relaxed geometry, with properties calculated at the PBE level.

Cell: 5.235 5.235 5.235 Å, 90.00 90.00 90.00°
Element x y z (fractional)
Ga 0.000 0.000 0.000
Tc 0.500 0.500 0.500
Br 0.000 0.500 0.500
Br 0.500 0.000 0.500
Br 0.500 0.500 0.000


| no. | uncorrected formation energy (meV per atom) | energy relative to the lowest polymorph listed for this composition (meV/atom) | DOS(E_F) (states/eV/f.u.) |
| --- | --- | --- | --- |
| 1 | 518 | 532.6 | 7.9 |
| 2 | -15 | 0.0 | 2.7 |